VASP calculation (PBE-GGA) on Tb3BiAs2 after structural relaxation.

E_tot (eV per formula unit): -35.08

Structure (POSCAR):
```
Tb3BiAs2
1.0
4.2195 0.0000 0.0000
-2.1098 3.6542 0.0000
0.0000 0.0000 10.5289
Tb Bi As
3 1 2
direct
0.0000 0.0000 0.0000
0.3333 0.6667 0.3114
0.6667 0.3333 0.6886
0.0000 0.0000 0.5000
0.3333 0.6667 0.8416
0.6667 0.3333 0.1584
```



VASP calculation (PBE-GGA) on RbDyAgTe3 after structural relaxation.

E_tot (eV per formula unit): -23.29

Structure (POSCAR):
```
RbDyAgTe3
1.0
2.1488 -8.4257 0.0000
2.1488 8.4257 0.0000
0.0000 0.0000 11.3749
Rb Dy Ag Te
2 2 2 6
direct
0.2461 0.7539 0.7500
0.7539 0.2461 0.2500
0.0000 0.0000 0.0000
0.0000 0.0000 0.5000
0.4641 0.5359 0.2500
0.5359 0.4641 0.7500
0.0736 0.9264 0.2500
0.3722 0.6278 0.0469
0.3722 0.6278 0.4531
0.6278 0.3722 0.5469
0.6278 0.3722 0.9531
0.9264 0.0736 0.7500
```



VASP calculation (PBE-GGA) on Er2SnH2 after structural relaxation.

E_tot (eV per formula unit): -23.39

Structure (POSCAR):
```
Er2SnH2
1.0
3.9267 0.0000 0.0000
0.0000 3.9267 0.0000
0.0000 0.0000 10.6601
Er Sn H
4 2 4
direct
0.0000 0.0000 0.1546
0.0000 0.0000 0.8454
0.5000 0.5000 0.3454
0.5000 0.5000 0.6546
0.0000 0.0000 0.5000
0.5000 0.5000 0.0000
0.0000 0.5000 0.2500
0.0000 0.5000 0.7500
0.5000 0.0000 0.2500
0.5000 0.0000 0.7500
```



VASP calculation (PBE-GGA) on Nd4GeO3 after structural relaxation.

E_tot (eV per formula unit): -55.07

Structure (POSCAR):
```
Nd4GeO3
1.0
5.3863 0.0000 0.0000
0.0000 5.3863 0.0000
0.0000 0.0000 10.5228
Nd Ge O
8 2 6
direct
0.0000 0.0000 0.2320
0.0000 0.0000 0.7680
0.0000 0.5000 0.0000
0.0000 0.5000 0.5000
0.5000 0.0000 0.0000
0.5000 0.0000 0.5000
0.5000 0.5000 0.2680
0.5000 0.5000 0.7320
0.0000 0.0000 0.5000
0.5000 0.5000 0.0000
0.0000 0.0000 0.0000
0.0000 0.5000 0.2500
0.0000 0.5000 0.7500
0.5000 0.0000 0.2500
0.5000 0.0000 0.7500
0.5000 0.5000 0.5000
```



VASP calculation (PBE-GGA) on Li2Sm2Ge3 after structural relaxation.

E_tot (eV per formula unit): -32.03

Structure (POSCAR):
```
Li2Sm2Ge3
1.0
2.1948 -9.2849 0.0000
2.1948 9.2849 0.0000
0.0000 0.0000 6.8774
Li Sm Ge
4 4 6
direct
0.1911 0.8089 0.5630
0.1911 0.8089 0.9370
0.8089 0.1911 0.0630
0.8089 0.1911 0.4370
0.3426 0.6574 0.7500
0.4480 0.5520 0.2500
0.5520 0.4480 0.7500
0.6574 0.3426 0.2500
0.0627 0.9373 0.0658
0.0627 0.9373 0.4342
0.2796 0.7204 0.2500
0.7204 0.2796 0.7500
0.9373 0.0627 0.5658
0.9373 0.0627 0.9342
```



VASP calculation (PBE-GGA) on CuSnMoIr after structural relaxation.

Energy relative to the lowest polymorph listed for this composition (meV/atom): 0

Structure (POSCAR):
```
CuSnMoIr
1.0
6.3359 0.0000 0.0000
0.0000 6.3359 0.0000
0.0000 0.0000 6.3359
Cu Sn Mo Ir
4 4 4 4
direct
0.0000 0.0000 0.0000
0.0000 0.5000 0.5000
0.5000 0.0000 0.5000
0.5000 0.5000 0.0000
0.2500 0.2500 0.7500
0.2500 0.7500 0.2500
0.7500 0.2500 0.2500
0.7500 0.7500 0.7500
0.2500 0.2500 0.2500
0.2500 0.7500 0.7500
0.7500 0.2500 0.7500
0.7500 0.7500 0.2500
0.0000 0.0000 0.5000
0.0000 0.5000 0.0000
0.5000 0.0000 0.0000
0.5000 0.5000 0.5000
```



VASP calculation (PBE-GGA) on Pm2HBr2 after structural relaxation.

E_tot (eV per formula unit): -22.38

Structure (POSCAR):
```
Pm2HBr2
1.0
10.4538 -1.9775 0.0000
10.4538 1.9775 0.0000
-0.6925 0.0000 6.8613
Pm H Br
4 2 4
direct
0.1811 0.1811 0.3934
0.3187 0.3187 0.1039
0.6813 0.6813 0.8961
0.8189 0.8189 0.6066
0.2086 0.2086 0.0685
0.7914 0.7914 0.9315
0.0905 0.0905 0.6993
0.4119 0.4119 0.8036
0.5881 0.5881 0.1964
0.9095 0.9095 0.3007
```



VASP calculation (PBE-GGA) on MgInFeW after structural relaxation.

Energy relative to the lowest polymorph listed for this composition (meV/atom): 0

Structure (POSCAR):
```
MgInFeW
1.0
6.3161 0.0000 0.0000
0.0000 6.3161 0.0000
0.0000 0.0000 6.3161
Mg In Fe W
4 4 4 4
direct
0.0000 0.0000 0.0000
0.0000 0.5000 0.5000
0.5000 0.0000 0.5000
0.5000 0.5000 0.0000
0.2500 0.2500 0.2500
0.2500 0.7500 0.7500
0.7500 0.2500 0.7500
0.7500 0.7500 0.2500
0.0000 0.0000 0.5000
0.0000 0.5000 0.0000
0.5000 0.0000 0.0000
0.5000 0.5000 0.5000
0.2500 0.2500 0.7500
0.2500 0.7500 0.2500
0.7500 0.2500 0.2500
0.7500 0.7500 0.7500
```